Entry 1:
{
  "formula": "Ta2ZnOs",
  "functional": "PBE",
  "state": "relaxed",
  "lattice_angstrom": [[1.445, 0.834, 9.193], [-1.445, 0.834, 9.193], [0.000, -1.668, 9.193]],
  "species": ["Ta", "Ta", "Zn", "Os"],
  "frac_coords": [[0.000, 0.000, 0.000], [0.242, 0.242, 0.242], [0.490, 0.490, 0.490], [0.745, 0.745, 0.745]],
  "dos_ef_per_ev_fu": 4.832,
  "density_g_cm3": 15.43,
  "ef_mev_per_atom": 171,
  "volume_a3_per_cell": 66.5
}

***

Entry 2:
{
  "formula": "SiBi3Pb",
  "functional": "PBE",
  "state": "relaxed",
  "lattice_angstrom": [[5.880, 0.000, 0.000], [0.000, 5.880, 0.000], [0.000, 0.000, 5.880]],
  "species": ["Si", "Bi", "Bi", "Bi", "Pb"],
  "frac_coords": [[0.000, 0.000, 0.000], [0.000, 0.500, 0.500], [0.500, 0.000, 0.500], [0.500, 0.500, 0.000], [0.500, 0.500, 0.500]],
  "dos_ef_per_ev_fu": 7.448,
  "e_form_raw_ev_per_atom": 1.236,
  "density_g_cm3": 7.04,
  "volume_a3_per_cell": 203.3
}

***

Entry 3:
{
  "formula": "CsSrSbTe2",
  "functional": "PBE",
  "state": "relaxed",
  "lattice_angstrom": [[6.328, 0.000, 0.000], [0.000, 6.328, 0.000], [0.000, 0.000, 6.106]],
  "species": ["Cs", "Sr", "Sb", "Te", "Te"],
  "frac_coords": [[0.000, 0.000, 0.000], [0.500, 0.500, 0.500], [0.000, 0.000, 0.500], [0.000, 0.500, 0.000], [0.500, 0.000, 0.000]],
  "dos_ef_per_ev_fu": 7.863,
  "e_form_raw_ev_per_atom": 0.377,
  "density_g_cm3": 4.06,
  "volume_a3_per_cell": 244.6
}

***

Entry 4:
{
  "formula": "CaYZr",
  "functional": "PBE",
  "state": "relaxed",
  "lattice_angstrom": [[1.745, 1.008, 17.752], [-1.745, 1.008, 17.752], [0.000, -2.015, 17.752]],
  "species": ["Ca", "Ca", "Y", "Y", "Zr", "Zr"],
  "frac_coords": [[0.197, 0.197, 0.197], [0.803, 0.803, 0.803], [0.261, 0.261, 0.261], [0.739, 0.739, 0.739], [0.356, 0.356, 0.356], [0.644, 0.644, 0.644]],
  "dos_ef_per_ev_fu": 4.786,
  "density_g_cm3": 3.90,
  "ef_mev_per_atom": 187,
  "volume_a3_per_cell": 187.3
}